! PBE V2Co2B, relaxed; values from VASP
&SYSTEM
  ibrav = 0, nat = 10, ntyp = 3
/
ATOMIC_SPECIES
Co 58.93 Co.upf
B 10.81 B.upf
V 50.94 V.upf
ATOMIC_POSITIONS angstrom
Co 3.3691 0.7931 0.0000
Co 4.3590 3.3691 0.0000
B 0.0000 0.0000 0.0000
V 4.2377 1.6617 2.0523
Co 0.7931 1.7829 0.0000
V 3.4904 4.2377 2.0523
V 0.9143 3.4904 2.0523
B 2.5760 2.5760 0.0000
Co 1.7829 4.3590 0.0000
V 1.6617 0.9143 2.0523
CELL_PARAMETERS angstrom
5.1521 0.0000 0.0000
0.0000 5.1521 0.0000
0.0000 0.0000 4.1045
! Fermi-level density of states ... 7.78 states/eV per cell
! Formation enthalpy at 0 K ... -0.11 eV/atom
! Crystal system ... tetragonal
! Energy above the most stable polymorph in this dataset ... 0.000 eV/atom


! PBE V3CoB, relaxed; values from VASP
&SYSTEM
  ibrav = 0, nat = 5, ntyp = 3
/
ATOMIC_SPECIES
V 50.94 V.upf
B 10.81 B.upf
Co 58.93 Co.upf
ATOMIC_POSITIONS angstrom
V 0.0000 1.9858 0.0000
B 0.0000 0.0000 0.0000
V 0.0000 0.0000 1.9858
Co 1.9858 1.9858 1.9858
V 1.9858 0.0000 0.0000
CELL_PARAMETERS angstrom
3.9716 0.0000 0.0000
0.0000 3.9716 0.0000
0.0000 0.0000 3.9716
! Fermi-level density of states ... 6.83 states/eV per cell
! Formation enthalpy at 0 K ... 0.17 eV/atom
! Crystal system ... cubic
! Energy above the most stable polymorph in this dataset ... 0.000 eV/atom


! PBE V2Co2B, relaxed; values from VASP
&SYSTEM
  ibrav = 0, nat = 5, ntyp = 3
/
ATOMIC_SPECIES
V 50.94 V.upf
B 10.81 B.upf
Co 58.93 Co.upf
ATOMIC_POSITIONS angstrom
V 1.9402 3.8803 2.1522
V 3.8803 1.9402 2.1522
B 0.0000 0.0000 0.0000
Co 3.8803 3.8803 3.2737
Co 1.9402 1.9402 1.0307
CELL_PARAMETERS angstrom
3.8803 0.0000 0.0000
0.0000 3.8803 0.0000
1.9402 1.9402 4.3043
! Fermi-level density of states ... 3.26 states/eV per cell
! Formation enthalpy at 0 K ... 0.81 eV/atom
! Crystal system ... tetragonal
! Energy above the most stable polymorph in this dataset ... 0.924 eV/atom


! PBE VCo3B, relaxed; values from VASP
&SYSTEM
  ibrav = 0, nat = 20, ntyp = 3
/
ATOMIC_SPECIES
Co 58.93 Co.upf
V 50.94 V.upf
B 10.81 B.upf
ATOMIC_POSITIONS angstrom
Co 0.0526 0.5619 1.0745
Co 4.3876 4.6591 7.8440
V 2.2201 0.0000 4.4593
Co 1.2931 1.1137 6.6889
Co 3.5132 1.4968 6.6889
Co 2.1675 3.1724 7.8440
Co 2.2727 2.0486 3.3847
V 0.0000 2.6105 4.4593
B 2.6277 4.8365 6.6889
B 4.0326 2.2260 2.2296
V 0.0000 2.6105 0.0000
Co 0.9270 3.7242 2.2296
Co 2.1675 3.1724 5.5338
Co 2.2727 2.0486 1.0745
B 1.8125 0.3845 2.2296
Co 4.3876 4.6591 5.5338
Co 3.1471 4.1073 2.2296
Co 0.0526 0.5619 3.3847
V 2.2201 0.0000 0.0000
B 0.4076 2.9950 6.6889
CELL_PARAMETERS angstrom
4.4402 0.0000 0.0000
0.0000 5.2210 0.0000
0.0000 0.0000 8.9185
! Fermi-level density of states ... 15.27 states/eV per cell
! Formation enthalpy at 0 K ... -0.06 eV/atom
! Crystal system ... orthorhombic
! Energy above the most stable polymorph in this dataset ... 0.000 eV/atom


! PBE VCo2B2, relaxed; values from VASP
&SYSTEM
  ibrav = 0, nat = 10, ntyp = 3
/
ATOMIC_SPECIES
B 10.81 B.upf
Co 58.93 Co.upf
V 50.94 V.upf
ATOMIC_POSITIONS angstrom
B 0.8241 2.1650 0.0000
B 5.1540 3.8131 0.0000
Co 3.9150 5.0522 1.2311
B 3.8131 0.8241 0.0000
V 0.0000 0.0000 0.0000
Co 0.9259 3.9150 1.2311
Co 5.0522 2.0631 1.2311
Co 2.0631 0.9259 1.2311
B 2.1650 5.1540 0.0000
V 2.9891 2.9891 0.0000
CELL_PARAMETERS angstrom
5.9781 0.0000 0.0000
0.0000 5.9781 0.0000
0.0000 0.0000 2.4622
! Fermi-level density of states ... 9.86 states/eV per cell
! Formation enthalpy at 0 K ... -0.24 eV/atom
! Crystal system ... tetragonal


! PBE V2Co2B, relaxed; values from VASP
&SYSTEM
  ibrav = 0, nat = 10, ntyp = 3
/
ATOMIC_SPECIES
V 50.94 V.upf
B 10.81 B.upf
Co 58.93 Co.upf
ATOMIC_POSITIONS angstrom
V -1.6420 -0.6534 1.0507
V -3.7650 0.1254 4.4850
B 0.0000 0.0000 0.0000
Co -1.8876 -2.9526 2.2868
V -4.0034 -1.7898 2.3103
Co -3.2338 -2.2112 4.7810
Co 0.0890 -0.8348 2.7241
Co -1.2573 -0.0934 5.2183
V -1.4036 1.2618 3.2254
B -2.7035 -0.2640 2.7679
CELL_PARAMETERS angstrom
-1.0567 2.6945 4.6586
-4.3504 -3.2225 0.8771
2.2622 -2.5179 1.9694
! Fermi-level density of states ... 13.40 states/eV per cell
! Formation enthalpy at 0 K ... 0.36 eV/atom
! Crystal system ... tetragonal
! Energy above the most stable polymorph in this dataset ... 0.467 eV/atom


! PBE V2CoB, relaxed; values from VASP
&SYSTEM
  ibrav = 0, nat = 8, ntyp = 3
/
ATOMIC_SPECIES
V 50.94 V.upf
Co 58.93 Co.upf
B 10.81 B.upf
ATOMIC_POSITIONS angstrom
V -3.5170 -2.9740 1.3886
Co -4.9534 -4.4296 2.9328
V -0.6285 -2.8474 4.3237
V -5.4068 -6.9545 7.0023
B -1.5559 -3.9316 5.9059
V -3.4662 -3.9463 4.9629
Co 0.0000 0.0000 0.0000
B -1.7818 -3.2817 2.5857
CELL_PARAMETERS angstrom
-5.1792 -3.7798 -0.3874
1.6157 -2.7837 5.5589
-2.9458 -1.7976 3.6672
! Fermi-level density of states ... 4.57 states/eV per cell
! Formation enthalpy at 0 K ... 0.23 eV/atom
! Crystal system ... tetragonal


! PBE V2Co2B, relaxed; values from VASP
&SYSTEM
  ibrav = 0, nat = 5, ntyp = 3
/
ATOMIC_SPECIES
V 50.94 V.upf
B 10.81 B.upf
Co 58.93 Co.upf
ATOMIC_POSITIONS angstrom
V 3.0250 3.0250 5.3875
B 0.0000 0.0000 0.0000
Co 1.5125 3.0250 3.2609
V 1.5125 1.5125 1.1342
Co 3.0250 1.5125 3.2609
CELL_PARAMETERS angstrom
3.0250 0.0000 0.0000
0.0000 3.0250 0.0000
1.5125 1.5125 6.5217
! Fermi-level density of states ... 5.85 states/eV per cell
! Formation enthalpy at 0 K ... 0.48 eV/atom
! Crystal system ... tetragonal
! Energy above the most stable polymorph in this dataset ... 0.586 eV/atom